## Ce3Pu3Ga5 (PBE)

Data for a relaxed structure of Ce3Pu3Ga5.

Results
ΔE_f	-0.27	eV/atom

Unit cell a=5.3808 b=8.6361 c=10.9036 alpha=123.89 beta=42.08 gamma=97.84
Closest atoms and distances in Å follow each position.
Sites, in units of the cell vectors:
Ga: 0.6813 0.6223 0.2207  4 Ga 2.58-2.72
Ga: 0.3388 0.3890 0.7218  3 Ga 2.68-2.74, 2 Pu 2.82-2.96
Pu: 0.9657 0.8925 0.7715  2 Pu 2.45-2.46
Ce: 0.3091 0.7821 0.1446  2 Pu 2.75-2.82
Ce: 0.3987 0.0963 0.7849  1 Pu 2.77, 2 Ga 2.98-3.08
Pu: 0.1818 0.1056 0.1736  1 Pu 2.46, 2 Ce 2.72-2.75
Ga: 0.3551 0.0400 0.4668  3 Ga 2.68-2.69
Pu: 0.0567 0.8081 0.9204  1 Pu 2.45
Ce: 0.2116 0.3832 0.4498  1 Pu 2.72
Ga: 0.6522 0.3273 0.9729  4 Ga 2.52-2.74
Ga: 0.8490 0.5536 0.3731  2 Ga 2.52-2.72

***

## Tb2NpC (PBE)

Data for a relaxed structure of Tb2NpC.

Results
ΔE_f	0.27	eV/atom

Unit cell a=3.4603 b=3.4603 c=9.9536 alpha=79.99 beta=79.99 gamma=60.00
Closest atoms and distances in Å follow each position.
Sites, in units of the cell vectors:
Tb: 0.1193 0.1193 0.6422  3 C 2.43
Np: 0.0000 0.0000 0.0000  6 Np 3.46, 2 Tb 3.49
Tb: 0.8807 0.8807 0.3578  3 C 2.43
C: 0.5000 0.5000 0.5000  6 Tb 2.43

***

## AcSm12Y3 (PBE)

Data for a relaxed structure of AcSm12Y3.

Results
ΔE_f	0.02	eV/atom

Unit cell a=5.1482 b=5.1482 c=20.5830 alpha=90.00 beta=90.00 gamma=90.00
Closest atoms and distances in Å follow each position.
Sites, in units of the cell vectors:
Sm: 0.5000 0.0000 0.8698  2 Y 3.61, 8 Sm 3.63-3.72, 2 Ac 3.72
Sm: 0.5000 0.0000 0.1302  2 Y 3.61, 8 Sm 3.63-3.72, 2 Ac 3.72
Sm: 0.0000 0.5000 0.3767  8 Sm 3.60-3.64, 4 Y 3.61-3.62
Sm: 0.5000 0.0000 0.3767  8 Sm 3.60-3.64, 4 Y 3.61-3.62
Sm: 0.5000 0.5000 0.0000  4 Ac 3.64, 8 Sm 3.72
Sm: 0.0000 0.5000 0.8698  2 Y 3.61, 8 Sm 3.63-3.72, 2 Ac 3.72
Sm: 0.0000 0.5000 0.1302  2 Y 3.61, 8 Sm 3.63-3.72, 2 Ac 3.72
Sm: 0.5000 0.5000 0.7455  8 Sm 3.60-3.63, 4 Y 3.64
Sm: 0.5000 0.0000 0.6233  8 Sm 3.60-3.64, 4 Y 3.61-3.62
Ac: 0.0000 0.0000 0.0000  12 Sm 3.64-3.72
Y: 0.0000 0.0000 0.2530  12 Sm 3.61-3.64
Sm: 0.5000 0.5000 0.2545  8 Sm 3.60-3.63, 4 Y 3.64
Sm: 0.5000 0.5000 0.5000  8 Sm 3.61, 4 Y 3.64
Y: 0.0000 0.0000 0.5000  12 Sm 3.61-3.64
Y: 0.0000 0.0000 0.7470  12 Sm 3.61-3.64
Sm: 0.0000 0.5000 0.6233  8 Sm 3.60-3.64, 4 Y 3.61-3.62

***

## CaInB2F (PBE)

Data for a relaxed structure of CaInB2F.

Results
energy relative to the elements, uncorrected	15.48	kcal/mol of atoms

Unit cell a=5.1611 b=4.1366 c=5.1611 alpha=90.00 beta=90.00 gamma=90.00
Closest atoms and distances in Å follow each position.
Sites, in units of the cell vectors:
Ca: 0.0000 0.0000 0.0000  2 F 2.07
In: 0.5000 0.5000 0.5000  8 B 3.31, 4 F 3.65
B: 0.5000 0.0000 0.0000  2 Ca 2.58
B: 0.0000 0.0000 0.5000  2 Ca 2.58
F: 0.0000 0.5000 0.0000  2 Ca 2.07

***

## ZnIr5 (PBE)

Data for a relaxed structure of ZnIr5.

Results
ΔE_f	0.50	eV/atom

Unit cell a=5.0893 b=5.0893 c=4.4993 alpha=90.00 beta=90.00 gamma=120.00
Closest atoms and distances in Å follow each position.
Sites, in units of the cell vectors:
Ir: 0.5000 0.5000 0.5000  8 Ir 2.54-2.69
Ir: 0.5000 0.0000 0.5000  8 Ir 2.54-2.69
Ir: 0.3333 0.6667 0.0000  9 Ir 2.69-2.94, 3 Zn 2.94
Ir: 0.6667 0.3333 0.0000  9 Ir 2.69-2.94, 3 Zn 2.94
Ir: 0.0000 0.5000 0.5000  8 Ir 2.54-2.69
Zn: 0.0000 0.0000 0.0000  6 Ir 2.94

***

## Li2AsW (PBE)

Data for a relaxed structure of Li2AsW.

Results
ΔE_f	0.23	eV/atom

Unit cell a=5.3000 b=5.3000 c=5.3000 alpha=140.09 beta=140.09 gamma=57.72
Closest atoms and distances in Å follow each position.
Sites, in units of the cell vectors:
As: 0.7500 0.2500 0.5000  4 W 2.56
Li: 0.5000 0.5000 0.0000  4 Li 2.56
W: 0.2500 0.7500 0.5000  4 As 2.56
Li: 0.0000 0.0000 0.0000  4 Li 2.56

***

## CsTe2Pb (PBE)

Data for a relaxed structure of CsTe2Pb.

Results
energy relative to the elements, uncorrected	-10.59	kcal/mol of atoms

Unit cell a=5.6248 b=5.6248 c=13.2585 alpha=90.00 beta=90.00 gamma=120.00
Closest atoms and distances in Å follow each position.
Sites, in units of the cell vectors:
Cs: 0.0000 0.0000 0.8311  9 Te 3.90-4.25
Te: 0.6667 0.3333 0.0063  3 Te 3.25
Cs: 0.0000 0.0000 0.1689  9 Te 3.90-4.25
Te: 0.6667 0.3333 0.6249  4 Pb 3.03-3.26
Te: 0.3333 0.6667 0.3751  4 Pb 3.03-3.26
Te: 0.3333 0.6667 0.9937  3 Te 3.25
Pb: 0.6667 0.3333 0.3967  4 Te 3.03-3.26
Pb: 0.3333 0.6667 0.6033  4 Te 3.03-3.26

***

## LiInGe2I6 (PBE)

Data for a relaxed structure of LiInGe2I6.

Results
energy relative to the elements, uncorrected	-10.68	kcal/mol of atoms

Unit cell a=7.8443 b=11.3654 c=11.3654 alpha=77.23 beta=63.61 gamma=63.61
Closest atoms and distances in Å follow each position.
Sites, in units of the cell vectors:
I: 0.6770 0.1372 0.6154  1 Li 2.87, 1 Ge 2.87
Li: 0.2500 0.2083 0.7917  4 I 2.87-2.89
Ge: 0.8919 0.1909 0.3431  3 I 2.78-2.93
Ge: 0.6081 0.6569 0.8091  3 I 2.78-2.93
I: 0.5729 0.4235 0.3197  2 Ge 2.78-2.93
I: 0.1770 0.6154 0.1372  1 Li 2.87, 1 Ge 2.87
In: 0.2500 0.9010 0.0990  6 I 3.38-3.48
I: 0.2726 0.9501 0.7802  1 Li 2.89
Ge: 0.3919 0.3431 0.1909  3 I 2.78-2.93
I: 0.2274 0.2198 0.0499  1 Li 2.89
Ge: 0.1081 0.8091 0.6569  3 I 2.78-2.93
Li: 0.7500 0.7917 0.2083  4 I 2.87-2.89
I: 0.7726 0.7802 0.9501  1 Li 2.89
I: 0.8230 0.3846 0.8628  1 Li 2.87, 1 Ge 2.87
I: 0.0729 0.3197 0.4235  2 Ge 2.78-2.93
I: 0.7274 0.0499 0.2198  1 Li 2.89
I: 0.4271 0.5765 0.6803  2 Ge 2.78-2.93
I: 0.3230 0.8628 0.3846  1 Li 2.87, 1 Ge 2.87
I: 0.9271 0.6803 0.5765  2 Ge 2.78-2.93
In: 0.7500 0.0990 0.9010  6 I 3.38-3.48

***

| no. | E_tot (Ha/atom) |
| --- | --- |
| 1 | -0.264 |
| 2 | -0.279 |
| 3 | -0.183 |
| 4 | -0.122 |
| 5 | -0.261 |
| 6 | -0.188 |
| 7 | -0.117 |
| 8 | -0.102 |